First-principles (GGA-PBE) data for a relaxed structure of RuPt, as listed in the Alexandria database. Values from VASP.

Cell and atoms, written as Quantum ESPRESSO input:
```
&SYSTEM
  ibrav = 0, nat = 4, ntyp = 2
/
ATOMIC_SPECIES
Pt 195.08 Pt.upf
Ru 101.07 Ru.upf
CELL_PARAMETERS angstrom
-2.304 -0.857 3.089
3.136 -2.258 -0.811
2.927 2.984 3.011
ATOMIC_POSITIONS crystal
Pt 0.333 0.667 0.250
Ru 0.000 0.000 0.500
Ru 0.000 0.000 0.000
Pt 0.667 0.333 0.750
```

Results
Its space group is P6_3/mmc (194). The formation energy is 0.6167 eV per atom.



First-principles (GGA-PBE) data for a relaxed structure of Ca6Bi2SN, as listed in the Alexandria database. Values from VASP.

Cell and atoms, written as Quantum ESPRESSO input:
```
&SYSTEM
  ibrav = 0, nat = 10, ntyp = 4
/
ATOMIC_SPECIES
N 14.01 N.upf
Ca 40.08 Ca.upf
S 32.06 S.upf
Bi 208.98 Bi.upf
CELL_PARAMETERS angstrom
7.264 0.000 0.000
3.632 6.291 0.000
3.632 2.097 5.931
ATOMIC_POSITIONS crystal
N 0.000 0.000 0.000
Ca 0.766 0.234 0.234
Ca 0.234 0.234 0.766
Ca 0.234 0.766 0.766
Ca 0.766 0.766 0.234
S 0.500 0.500 0.500
Bi 0.250 0.250 0.250
Ca 0.234 0.766 0.234
Ca 0.766 0.234 0.766
Bi 0.750 0.750 0.750
```

Results
Its space group is Fm-3m (225).



First-principles (GGA-PBE) data for a relaxed structure of Sr2CuP, as listed in the Alexandria database. Values from VASP.

Cell and atoms, written as Quantum ESPRESSO input:
```
&SYSTEM
  ibrav = 0, nat = 8, ntyp = 3
/
ATOMIC_SPECIES
P 30.97 P.upf
Cu 63.55 Cu.upf
Sr 87.62 Sr.upf
CELL_PARAMETERS angstrom
6.629 0.000 0.000
0.000 6.629 0.000
3.314 3.314 7.521
ATOMIC_POSITIONS crystal
P 0.500 0.500 0.000
Cu 0.000 0.000 0.000
Sr 0.591 0.125 0.250
Sr 0.875 0.841 0.750
Cu 0.750 0.250 0.500
Sr 0.159 0.625 0.250
Sr 0.375 0.409 0.750
P 0.250 0.750 0.500
```

Results
Its space group is I-42d (122). The formation energy is -0.1501 eV per atom.



Number 1: total DFT energy (no corrections) -28.2 eV for the cell shown, density 14.1 Mg/m³, density of states at the Fermi level 1.641 states/eV per atom. Number 2: total DFT energy (no corrections) -43.3 eV for the cell shown, density 4.3 Mg/m³, density of states at the Fermi level 0.273 states/eV per atom. Number 3: total DFT energy (no corrections) -26.9 eV for the cell shown, density 2.7 Mg/m³, density of states at the Fermi level 0.000 states/eV per atom.